1.
The following is a GGA-PBE calculation of crystalline Ba2Mg2Hg at its relaxed geometry, from Alexandria via LeMat-Bulk.

- ΔH_f (0 K): -0.199 eV per atom
- V: 37.239 A^3/atom
- Density: 4.67 g/cm³
- Spin magnetization: 0.0 μB per cell

```
Ba2Mg2Hg
1.0
6.182 -2.632 0.000
6.182 2.632 0.000
-5.894 0.000 11.444
Ba Mg Hg
4 4 2
Direct
0.006 0.006 0.337
0.198 0.198 0.116
0.802 0.802 0.884
0.994 0.994 0.663
0.339 0.339 0.447
0.499 0.499 0.120
0.501 0.501 0.880
0.661 0.661 0.553
0.280 0.280 0.654
0.720 0.720 0.346
```

***

2.
The following is a GGA-PBE calculation of crystalline NdDyPuN3 at its relaxed geometry, from Alexandria via LeMat-Bulk.

- Uncorrected formation energy: -983 meV per atom
- V: 18.224 A^3/atom
- Density: 9.00 g/cm³
- Spin magnetization: 0.0 μB per cell

```
NdDyPuN3
1.0
7.185 0.000 0.000
0.000 3.649 0.000
-1.230 0.000 8.342
Nd Dy Pu N
2 2 2 6
Direct
0.166 0.250 0.143
0.834 0.750 0.857
0.368 0.750 0.848
0.632 0.250 0.152
0.057 0.250 0.580
0.943 0.750 0.420
0.103 0.250 0.846
0.224 0.750 0.577
0.398 0.750 0.125
0.602 0.250 0.875
0.776 0.250 0.423
0.897 0.750 0.154
```

***

3.
The following is a GGA-PBE calculation of crystalline NbHgTe2 at its relaxed geometry, from Alexandria via LeMat-Bulk.

- Uncorrected formation energy: -317 meV per atom
- V: 30.061 A^3/atom
- Density: 7.58 g/cm³
- Spin magnetization: 0.0 μB per cell

```
NbHgTe2
1.0
3.650 0.000 0.000
1.825 3.167 0.000
0.117 0.636 10.404
Nb Hg Te
1 1 2
Direct
0.000 0.000 0.000
0.157 0.009 0.500
0.321 0.370 0.821
0.679 0.630 0.179
```